Below is an optimized crystal structure of Te2IrIN, with properties calculated at the PBEsol level.

Results
Symmetry: P4/mmm (123)
E_tot in eV/atom: -3.539
Total magnetization in μB per atom: 0.000
V in Å³/f.u.: 118

a b c (Å): 5.604 5.604 3.764
angles (deg): 90.00 90.00 90.00
Fractional positions:
Te1 0.000 0.500 0.000
Te2 0.500 0.000 0.000
Ir1 0.000 0.000 0.500
I1 0.500 0.500 0.000
N1 0.500 0.500 0.500